11
Lattice="8.6469 0.0000 0.0012 0.0000 7.1087 0.0000 0.0004 -3.5544 6.1561" Properties=species:S:1:pos:R:3 comment="Tb3NdY7, optimized geometry, DFT GGA-PBE" spacegroup=P3m1 delta_e_f_ev_per_atom=0.20 magnetic_moment_mub_per_fu=0.000 crystal_system=trigonal relative_energy_ev_per_atom=0.055 pbc="T T T"
Tb 6.7795 5.3289 3.0773
Y 3.8868 1.7878 1.0325
Y 3.8868 5.3210 1.0325
Tb 6.7795 1.7798 3.0773
Y 1.0056 0.0000 2.0651
Y 1.0196 3.5544 2.0522
Y 1.0049 1.7667 5.1245
Nd 3.8751 0.0000 4.1047
Tb 6.7792 3.5544 0.0039
Y 1.0049 -1.7667 5.1245
Y 3.8863 3.5544 4.0918